Record 1
An optimized crystal structure of ZrTaCuOs, computed with PBE.

Computed properties:
Crystal system   cubic
Uncorrected energy   -9.10 eV per atom

abc: 6.4535 6.4535 6.4535
angles: 90.00 90.00 90.00
Space group F-43m (No. 216)
Unique sites:
Zr: 0.0000 0.0000 0.0000 (multiplicity 4)
Ta: 0.0000 0.0000 0.5000 (multiplicity 4)
Cu: 0.2500 0.2500 0.2500 (multiplicity 4)
Os: 0.2500 0.2500 0.7500 (multiplicity 4)

***

Record 2
An optimized crystal structure of USn2, computed with PBE.

Computed properties:
Crystal system   orthorhombic
Uncorrected energy   -6.52 eV per atom

abc: 4.4405 14.5420 4.6769
angles: 90.00 90.00 90.00
Space group Cmmm (No. 65)
Unique sites:
U: 0.0000 0.1557 0.0000 (multiplicity 4)
Sn: 0.0000 0.0000 0.5000 (multiplicity 2)
Sn: 0.0000 0.3251 0.5000 (multiplicity 4)
Sn: 0.0000 0.5000 0.0000 (multiplicity 2)

***

Which DOS at the Fermi energy belongs to each record? In order, 8.30, 24.33 states/eV per cell.
Which energy of formation belongs to each record? In order, -173, -93 meV per atom.